1.
This record from Alexandria describes crystalline Rb2YMg2Te4 at its relaxed geometry. The functional is PBE.

Symmetry: C2/m (12)
Formation energy without anion corrections, eV/f.u.: -9.27
Total moment, μB/f.u.: 0.89
Raw total energy, eV per atom: -3.714
DOS(E_F), states/eV/f.u.: 4.0

Unit cell a=4.538 b=8.839 c=8.701 alpha=106.80 beta=105.12 gamma=90.00
Site moments in Bohr magnetons follow the coordinates.
Fractional coordinates of all 9 atoms:
Rb  0.127  0.550  0.254  0.01
Rb  0.873  0.450  0.746  0.01
Mg  0.669  0.978  0.338  0.01
Mg  0.331  0.022  0.662  0.01
Te  0.798  0.819  0.595  0.00
Te  0.512  0.760  0.024  0.00
Te  0.488  0.240  0.976  0.00
Te  0.202  0.181  0.405  0.00
Y  0.000  0.000  0.000  0.32

2.
This record from Alexandria describes crystalline AgP3 at its relaxed geometry. The functional is PBE.

Symmetry: R-3m (166)
Formation enthalpy at 0 K, eV per atom: 0.22
Total moment, μB/f.u.: 0.00
Raw total energy, eV per atom: -4.555
DOS(E_F), states/eV/f.u.: 2.0

Unit cell a=6.647 b=6.647 c=6.647 alpha=29.81 beta=29.81 gamma=29.81
Fractional coordinates of all 4 atoms:
Ag  0.000  0.000  0.000
P  0.500  0.500  0.500
P  0.762  0.762  0.762
P  0.238  0.238  0.238